Crystalline Sm2ErTh3Sb6 at its relaxed geometry. Source: Alexandria via LeMat-Bulk, functional PBE-GGA.

Properties
The theoretical density is 8307 kg/m3. As for the space group: C2/m, No. 12. The uncorrected formation energy comes out at -1033.9 meV per atom.

Cell: 4.477 8.917 9.993 Å, 102.71 102.94 90.00°
Atoms (fractional coordinates):
Sm (0.166, 0.333, 0.333)
Sm (0.834, 0.667, 0.667)
Er (0.500, 0.000, 0.000)
Th (0.832, 0.166, 0.664)
Sb (0.000, 0.243, 0.000)
Sb (0.000, 0.757, 0.000)
Sb (0.333, 0.418, 0.666)
Sb (0.663, 0.084, 0.327)
Sb (0.337, 0.916, 0.673)
Th (0.168, 0.834, 0.336)
Sb (0.667, 0.582, 0.334)
Th (0.500, 0.500, 0.000)